[1]
First-principles (PBE-GGA) data for an optimized crystal structure of PrNdGeH, as listed in Alexandria.

Computed properties:
The calculation puts the uncorrected energy at -39.7 eV for the cell shown. As for the total magnetization: 0.00 μB/cell.

```
PrNdGeH
1.0
4.4072 0.0000 0.0000
0.0000 4.4072 0.0000
0.0000 0.0000 8.8934
Pr Nd Ge H
2 2 2 2
direct
0.2500 0.2500 0.1211
0.7500 0.7500 0.8789
0.2500 0.7500 0.5000
0.7500 0.2500 0.5000
0.2500 0.2500 0.7472
0.7500 0.7500 0.2528
0.2500 0.7500 0.0000
0.7500 0.2500 0.0000
```

[2]
First-principles (PBE-GGA) data for an optimized crystal structure of Nd2GeHPt6, as listed in Alexandria.

Computed properties:
The calculation puts the uncorrected energy at -61.6 eV for the cell shown. As for the total magnetization: 0.00 μB/cell.

```
Nd2GeHPt6
1.0
4.9735 -2.8726 0.0000
4.9735 2.8726 0.0000
-3.3276 0.0000 6.1349
Nd Ge H Pt
2 1 1 6
direct
0.2176 0.2176 0.1541
0.7824 0.7824 0.8459
0.5000 0.5000 0.0000
0.0000 0.0000 0.5000
0.2312 0.2312 0.6893
0.2318 0.7281 0.6900
0.2719 0.7682 0.3100
0.7281 0.2318 0.6900
0.7682 0.2719 0.3100
0.7688 0.7688 0.3107
```